Entry 1:
DFT (GGA-PBEsol) results for a relaxed Na2TcAgPt crystal.

abc: 5.3331 5.3331 4.6231
angles: 90.00 90.00 90.00
Last column: nearest neighbours and their distance in Å.
Fractional coordinates of all 5 atoms:
1 Na 0.0000 0.5000 0.0000  2 Tc 2.67
2 Na 0.5000 0.0000 0.0000  2 Tc 2.67
3 Tc 0.0000 0.0000 0.0000  2 Pt 2.31
4 Ag 0.5000 0.5000 0.5000  8 Na 3.53, 4 Pt 3.77
5 Pt 0.0000 0.0000 0.5000  2 Tc 2.31

DOS at the Fermi energy = 1.167 states/eV/atom
Size of the total moment = 1.7 μB per formula unit
Energy relative to the elements = 1309 meV/atom
Final energy = -3.559 eV per atom

=====

Entry 2:
DFT (GGA-PBEsol) results for a relaxed Rb2NaAg crystal.

abc: 8.8068 8.8068 8.8068
angles: 90.00 90.00 90.00
Last column: nearest neighbours and their distance in Å.
Fractional coordinates of all 16 atoms:
1 Rb 0.2500 0.2500 0.2500  4 Na 3.81, 4 Ag 3.81
2 Rb 0.2500 0.2500 0.7500  4 Na 3.81, 4 Ag 3.81
3 Rb 0.2500 0.7500 0.2500  4 Na 3.81, 4 Ag 3.81
4 Rb 0.2500 0.7500 0.7500  4 Na 3.81, 4 Ag 3.81
5 Rb 0.7500 0.2500 0.2500  4 Na 3.81, 4 Ag 3.81
6 Rb 0.7500 0.2500 0.7500  4 Na 3.81, 4 Ag 3.81
7 Rb 0.7500 0.7500 0.2500  4 Na 3.81, 4 Ag 3.81
8 Rb 0.7500 0.7500 0.7500  4 Na 3.81, 4 Ag 3.81
9 Na 0.0000 0.0000 0.0000  8 Rb 3.81
10 Na 0.0000 0.5000 0.5000  8 Rb 3.81
11 Na 0.5000 0.0000 0.5000  8 Rb 3.81
12 Na 0.5000 0.5000 0.0000  8 Rb 3.81
13 Ag 0.0000 0.0000 0.5000  8 Rb 3.81
14 Ag 0.0000 0.5000 0.0000  8 Rb 3.81
15 Ag 0.5000 0.0000 0.0000  8 Rb 3.81
16 Ag 0.5000 0.5000 0.5000  8 Rb 3.81

DOS at the Fermi energy = 0.316 states/eV/atom
Size of the total moment = 0.0 μB per formula unit
Energy relative to the elements = 172 meV/atom
Final energy = -1.519 eV per atom

=====

Entry 3:
DFT (GGA-PBEsol) results for a relaxed Rb3NaAg crystal.

abc: 6.9870 6.9870 6.9870
angles: 90.00 90.00 90.00
Last column: nearest neighbours and their distance in Å.
Fractional coordinates of all 5 atoms:
1 Rb 0.0000 0.0000 0.5000  2 Na 3.49
2 Rb 0.0000 0.5000 0.0000  2 Na 3.49
3 Rb 0.5000 0.0000 0.0000  2 Na 3.49
4 Na 0.0000 0.0000 0.0000  6 Rb 3.49
5 Ag 0.5000 0.5000 0.5000  12 Rb 4.94

DOS at the Fermi energy = 0.794 states/eV/atom
Size of the total moment = 0.0 μB per formula unit
Energy relative to the elements = 434 meV/atom
Final energy = -1.123 eV per atom

=====

Entry 4:
DFT (GGA-PBEsol) results for a relaxed RbNa3Ag crystal.

abc: 5.8425 5.8425 5.8425
angles: 90.00 90.00 90.00
Last column: nearest neighbours and their distance in Å.
Fractional coordinates of all 5 atoms:
1 Rb 0.0000 0.0000 0.0000  12 Na 4.13
2 Na 0.0000 0.5000 0.5000  2 Ag 2.92
3 Na 0.5000 0.0000 0.5000  2 Ag 2.92
4 Na 0.5000 0.5000 0.0000  2 Ag 2.92
5 Ag 0.5000 0.5000 0.5000  6 Na 2.92

DOS at the Fermi energy = 0.478 states/eV/atom
Size of the total moment = 0.0 μB per formula unit
Energy relative to the elements = 91 meV/atom
Final energy = -1.616 eV per atom

=====

Entry 5:
DFT (GGA-PBEsol) results for a relaxed NaAg2RhW crystal.

abc: 4.8953 4.8953 4.6903
angles: 90.00 90.00 90.00
Last column: nearest neighbours and their distance in Å.
Fractional coordinates of all 5 atoms:
1 Na 0.0000 0.0000 0.0000  2 Rh 2.35
2 Ag 0.0000 0.5000 0.5000  2 Rh 2.45
3 Ag 0.5000 0.0000 0.5000  2 Rh 2.45
4 Rh 0.0000 0.0000 0.5000  2 Na 2.35, 4 Ag 2.45
5 W 0.5000 0.5000 0.0000  8 Ag 3.39, 4 Na 3.46

DOS at the Fermi energy = 1.159 states/eV/atom
Size of the total moment = 4.8 μB per formula unit
Energy relative to the elements = 2020 meV/atom
Final energy = -3.974 eV per atom

=====

Entry 6:
DFT (GGA-PBEsol) results for a relaxed Na2Ag2Ru crystal.

abc: 3.6234 3.6234 17.0147
angles: 90.00 90.00 90.00
Last column: nearest neighbours and their distance in Å.
Fractional coordinates of all 10 atoms:
1 Na 0.0000 0.0000 0.1014  4 Ru 3.09, 4 Ag 3.11, 1 Na 3.45
2 Na 0.0000 0.0000 0.8986  4 Ru 3.09, 4 Ag 3.11, 1 Na 3.45
3 Na 0.5000 0.5000 0.3986  4 Ru 3.09, 4 Ag 3.11, 1 Na 3.45
4 Na 0.5000 0.5000 0.6014  4 Ru 3.09, 4 Ag 3.11, 1 Na 3.45
5 Ag 0.0000 0.5000 0.2500  4 Ag 2.56
6 Ag 0.0000 0.5000 0.7500  4 Ag 2.56
7 Ag 0.5000 0.0000 0.2500  4 Ag 2.56
8 Ag 0.5000 0.0000 0.7500  4 Ag 2.56
9 Ru 0.0000 0.0000 0.5000  8 Na 3.09
10 Ru 0.5000 0.5000 0.0000  8 Na 3.09

DOS at the Fermi energy = 0.865 states/eV/atom
Size of the total moment = 2.1 μB per formula unit
Energy relative to the elements = 941 meV/atom
Final energy = -2.977 eV per atom

=====

Entry 7:
DFT (GGA-PBEsol) results for a relaxed NaAg3Ru crystal.

abc: 4.5765 4.5765 4.5765
angles: 90.00 90.00 90.00
Last column: nearest neighbours and their distance in Å.
Fractional coordinates of all 5 atoms:
1 Na 0.0000 0.0000 0.0000  6 Ag 2.29
2 Ag 0.0000 0.0000 0.5000  2 Na 2.29
3 Ag 0.0000 0.5000 0.0000  2 Na 2.29
4 Ag 0.5000 0.0000 0.0000  2 Na 2.29
5 Ru 0.5000 0.5000 0.5000  12 Ag 3.24

DOS at the Fermi energy = 1.227 states/eV/atom
Size of the total moment = 1.5 μB per formula unit
Energy relative to the elements = 1548 meV/atom
Final energy = -2.753 eV per atom

=====

Entry 8:
DFT (GGA-PBEsol) results for a relaxed Na3AgTe2S6 crystal.

abc: 5.7488 11.9512 8.0661
angles: 90.00 91.97 90.00
Last column: nearest neighbours and their distance in Å.
Fractional coordinates of all 24 atoms:
1 Na 0.2365 0.0000 0.3744  6 S 2.80-3.13
2 Na 0.2494 0.3248 0.8841  6 S 2.84-2.90
3 Na 0.2612 0.6636 0.3906  6 S 2.84-3.00
4 Na 0.7388 0.1636 0.6094  6 S 2.84-3.00
5 Na 0.7506 0.8248 0.1159  6 S 2.84-2.90
6 Na 0.7635 0.5000 0.6256  6 S 2.80-3.13
7 Ag 0.2857 0.9787 0.8765  4 S 2.51-2.75
8 Ag 0.7143 0.4787 0.1235  4 S 2.51-2.75
9 Te 0.2177 0.3351 0.4179  3 S 2.37-2.42
10 Te 0.2176 0.6530 0.9313  3 S 2.37-2.41
11 Te 0.7824 0.1530 0.0687  3 S 2.37-2.41
12 Te 0.7823 0.8351 0.5821  3 S 2.37-2.42
13 S 0.1967 0.8455 0.6421  1 Te 2.42, 1 Ag 2.51
14 S 0.1989 0.1314 0.0853  1 Te 2.41, 1 Ag 2.54
15 S 0.2390 0.1790 0.5986  1 Te 2.37
16 S 0.2533 0.8109 0.1073  1 Te 2.37
17 S 0.2662 0.4818 0.6181  1 Te 2.39
18 S 0.2799 0.5033 0.1263  1 Te 2.40, 1 Ag 2.52
19 S 0.7201 0.0033 0.8737  1 Te 2.40, 1 Ag 2.52
20 S 0.7338 0.9818 0.3819  1 Te 2.39
21 S 0.7467 0.3109 0.8927  1 Te 2.37
22 S 0.7610 0.6790 0.4014  1 Te 2.37
23 S 0.8011 0.6314 0.9147  1 Te 2.41, 1 Ag 2.54
24 S 0.8033 0.3455 0.3579  1 Te 2.42, 1 Ag 2.51

E_form (uncorrected) = -0.507 eV per atom
Size of the total moment = 0.0 μB per formula unit
Final energy = -3.913 eV per atom

=====

What did the seventh record say?
DFT (GGA-PBEsol) results for a relaxed NaAg3Ru crystal.

abc: 4.5765 4.5765 4.5765
angles: 90.00 90.00 90.00
Last column: nearest neighbours and their distance in Å.
Fractional coordinates of all 5 atoms:
1 Na 0.0000 0.0000 0.0000  6 Ag 2.29
2 Ag 0.0000 0.0000 0.5000  2 Na 2.29
3 Ag 0.0000 0.5000 0.0000  2 Na 2.29
4 Ag 0.5000 0.0000 0.0000  2 Na 2.29
5 Ru 0.5000 0.5000 0.5000  12 Ag 3.24

DOS at the Fermi energy = 1.227 states/eV/atom
Size of the total moment = 1.5 μB per formula unit
Energy relative to the elements = 1548 meV/atom
Final energy = -2.753 eV per atom